# PmCdAg, optimized geometry, DFT PBE-GGA
# DFT formation energy in kJ/mol of formula units: -88.3
# E above lowest polymorph in eV per atom: 0.007
# Size of the total moment in μB per formula unit: 0.1
# Calculated volume in Å³/cell: 73
# VASP energy in eV per formula unit: -9.43
data_PmCdAg
_chemical_formula_sum 'Pm1 Cd1 Ag1'
_space_group_name_H-M_alt 'P -6 m 2'
_space_group_IT_number 187
_space_group_name_Hall 'P -6 2'
_cell_length_a 4.9693
_cell_length_b 4.9693
_cell_length_c 3.3971
_cell_angle_alpha 90.00
_cell_angle_beta 90.00
_cell_angle_gamma 120.00
loop_
_atom_site_label
_atom_site_type_symbol
_atom_site_fract_x
_atom_site_fract_y
_atom_site_fract_z
_atom_site_occupancy
Pm1 Pm 0.0000 0.0000 0.0000 1
Cd1 Cd 0.6667 0.3333 0.5000 1
Ag1 Ag 0.3333 0.6667 0.5000 1

---

# ErZnNiAu, optimized geometry, DFT PBE-GGA
# DFT formation energy in kJ/mol of formula units: -162.6
# Size of the total moment in μB per formula unit: 0.0
# Calculated volume in Å³/cell: 283
# VASP energy in eV per formula unit: -16.58
data_ErZnNiAu
_chemical_formula_sum 'Er4 Zn4 Ni4 Au4'
_space_group_name_H-M_alt 'F -4 3 m'
_space_group_IT_number 216
_space_group_name_Hall 'F -4 2 3'
_cell_length_a 6.562
_cell_length_b 6.562
_cell_length_c 6.562
_cell_angle_alpha 90.00
_cell_angle_beta 90.00
_cell_angle_gamma 90.00
loop_
_atom_site_label
_atom_site_type_symbol
_atom_site_fract_x
_atom_site_fract_y
_atom_site_fract_z
_atom_site_occupancy
Er1 Er 0.000 0.000 0.000 1
Zn1 Zn 0.000 0.000 0.500 1
Ni1 Ni 0.250 0.250 0.250 1
Au1 Au 0.250 0.250 0.750 1

---

# HfBePd2I, optimized geometry, DFT PBE-GGA
# Size of the total moment in μB per formula unit: 0.0
# Calculated volume in Å³/cell: 111
# VASP energy in eV per formula unit: -20.03
data_HfBePd2I
_chemical_formula_sum 'Hf1 Be1 Pd2 I1'
_space_group_name_H-M_alt 'P 4/m m m'
_space_group_IT_number 123
_space_group_name_Hall '-P 4 2'
_cell_length_a 5.050
_cell_length_b 5.050
_cell_length_c 4.339
_cell_angle_alpha 90.00
_cell_angle_beta 90.00
_cell_angle_gamma 90.00
loop_
_atom_site_label
_atom_site_type_symbol
_atom_site_fract_x
_atom_site_fract_y
_atom_site_fract_z
_atom_site_occupancy
Hf1 Hf 0.000 0.000 0.000 1
Be1 Be 0.500 0.500 0.000 1
Pd1 Pd 0.000 0.500 0.500 1
I1 I 0.500 0.500 0.500 1

---

# CsPmFeCl6, optimized geometry, DFT PBE-GGA
# Size of the total moment in μB per formula unit: 4.0
# Calculated volume in Å³/cell: 635
# VASP energy in eV per formula unit: -40.43
data_CsPmFeCl6
_chemical_formula_sum 'Cs2 Pm2 Fe2 Cl12'
_space_group_name_H-M_alt 'C 1 2 1'
_space_group_IT_number 5
_space_group_name_Hall 'C 2y'
_cell_length_a 6.868
_cell_length_b 11.897
_cell_length_c 7.767
_cell_angle_alpha 90.00
_cell_angle_beta 90.08
_cell_angle_gamma 90.00
loop_
_atom_site_label
_atom_site_type_symbol
_atom_site_fract_x
_atom_site_fract_y
_atom_site_fract_z
_atom_site_occupancy
Cs1 Cs 0.000 0.000 0.000 1
Pm1 Pm 0.000 0.334 0.500 1
Fe1 Fe 0.000 0.667 0.500 1
Cl1 Cl 0.119 0.512 0.694 1
Cl2 Cl 0.171 0.805 0.692 1
Cl3 Cl 0.207 0.182 0.691 1

---

# Li2LaY, optimized geometry, DFT PBE-GGA
# DFT formation energy in kJ/mol of formula units: 139.9
# E above lowest polymorph in eV per atom: 0.298
# Size of the total moment in μB per formula unit: 0.6
# Calculated volume in Å³/cell: 453
# VASP energy in eV per formula unit: -13.77
data_Li2LaY
_chemical_formula_sum 'Li8 La4 Y4'
_space_group_name_H-M_alt 'I -4 2 d'
_space_group_IT_number 122
_space_group_name_Hall 'I -4 2bw'
_cell_length_a 8.392
_cell_length_b 8.392
_cell_length_c 6.426
_cell_angle_alpha 90.00
_cell_angle_beta 90.00
_cell_angle_gamma 90.00
loop_
_atom_site_label
_atom_site_type_symbol
_atom_site_fract_x
_atom_site_fract_y
_atom_site_fract_z
_atom_site_occupancy
Li1 Li 0.244 0.250 0.125 1
La1 La 0.000 0.000 0.500 1
Y1 Y 0.000 0.000 0.000 1

---

# PrNd2Si, optimized geometry, DFT PBE-GGA
# E above lowest polymorph in eV per atom: 0.135
# Size of the total moment in μB per formula unit: 0.0
# Calculated volume in Å³/cell: 116
# VASP energy in eV per formula unit: -20.63
data_PrNd2Si
_chemical_formula_sum 'Pr1 Nd2 Si1'
_space_group_name_H-M_alt 'P 4/m m m'
_space_group_IT_number 123
_space_group_name_Hall '-P 4 2'
_cell_length_a 3.934
_cell_length_b 3.934
_cell_length_c 7.515
_cell_angle_alpha 90.00
_cell_angle_beta 90.00
_cell_angle_gamma 90.00
loop_
_atom_site_label
_atom_site_type_symbol
_atom_site_fract_x
_atom_site_fract_y
_atom_site_fract_z
_atom_site_occupancy
Pr1 Pr 0.000 0.000 0.000 1
Nd1 Nd 0.500 0.500 0.303 1
Si1 Si 0.000 0.000 0.500 1

---

# Tb3Co7B2, optimized geometry, DFT PBE-GGA
# DFT formation energy in kJ/mol of formula units: -383.1
# Size of the total moment in μB per formula unit: 3.1
# Calculated volume in Å³/cell: 472
# VASP energy in eV per formula unit: -80.96
data_Tb3Co7B2
_chemical_formula_sum 'Tb9 Co21 B6'
_space_group_name_H-M_alt 'R -3 m'
_space_group_IT_number 166
_space_group_name_Hall '-R 3 2"'
_cell_length_a 5.0721
_cell_length_b 5.0721
_cell_length_c 21.1915
_cell_angle_alpha 90.00
_cell_angle_beta 90.00
_cell_angle_gamma 120.00
loop_
_atom_site_label
_atom_site_type_symbol
_atom_site_fract_x
_atom_site_fract_y
_atom_site_fract_z
_atom_site_occupancy
Tb1 Tb 0.0000 0.0000 0.0000 1
Tb2 Tb 0.0000 0.0000 0.1439 1
Co1 Co 0.0000 0.0000 0.5000 1
Co2 Co 0.0047 0.5023 0.0683 1
B1 B 0.0000 0.0000 0.3323 1

---

# RbBaTiO2, optimized geometry, DFT PBE-GGA
# Size of the total moment in μB per formula unit: 3.0
# Calculated volume in Å³/cell: 125
# VASP energy in eV per formula unit: -18.53
data_RbBaTiO2
_chemical_formula_sum 'Rb1 Ba1 Ti1 O2'
_space_group_name_H-M_alt 'P 4/m m m'
_space_group_IT_number 123
_space_group_name_Hall '-P 4 2'
_cell_length_a 5.123
_cell_length_b 5.123
_cell_length_c 4.752
_cell_angle_alpha 90.00
_cell_angle_beta 90.00
_cell_angle_gamma 90.00
loop_
_atom_site_label
_atom_site_type_symbol
_atom_site_fract_x
_atom_site_fract_y
_atom_site_fract_z
_atom_site_occupancy
Rb1 Rb 0.000 0.000 0.000 1
Ba1 Ba 0.500 0.500 0.500 1
Ti1 Ti 0.000 0.000 0.500 1
O1 O 0.000 0.500 0.000 1

---

# CeInS2, optimized geometry, DFT PBE-GGA
# Size of the total moment in μB per formula unit: 1.0
# Calculated volume in Å³/cell: 338
# VASP energy in eV per formula unit: -22.08
data_CeInS2
_chemical_formula_sum 'Ce3 In3 S6'
_space_group_name_H-M_alt 'R 3 m'
_space_group_IT_number 160
_space_group_name_Hall 'R 3 -2"'
_cell_length_a 4.1604
_cell_length_b 4.1604
_cell_length_c 22.5471
_cell_angle_alpha 90.00
_cell_angle_beta 90.00
_cell_angle_gamma 120.00
loop_
_atom_site_label
_atom_site_type_symbol
_atom_site_fract_x
_atom_site_fract_y
_atom_site_fract_z
_atom_site_occupancy
Ce1 Ce 0.0000 0.0000 0.0000 1
In1 In 0.0000 0.0000 0.8269 1
S1 S 0.0000 0.0000 0.4033 1
S2 S 0.0000 0.0000 0.6024 1

---

# BaLiPr2S4, optimized geometry, DFT PBE-GGA
# Size of the total moment in μB per formula unit: 0.0
# Calculated volume in Å³/cell: 815
# VASP energy in eV per formula unit: -45.41
data_BaLiPr2S4
_chemical_formula_sum 'Ba4 Li4 Pr8 S16'
_space_group_name_H-M_alt 'C m c m'
_space_group_IT_number 63
_space_group_name_Hall '-C 2c 2'
_cell_length_a 4.154
_cell_length_b 13.831
_cell_length_c 14.181
_cell_angle_alpha 90.00
_cell_angle_beta 90.00
_cell_angle_gamma 90.00
loop_
_atom_site_label
_atom_site_type_symbol
_atom_site_fract_x
_atom_site_fract_y
_atom_site_fract_z
_atom_site_occupancy
Ba1 Ba 0.000 0.113 0.250 1
Li1 Li 0.000 0.157 0.750 1
Pr1 Pr 0.000 0.371 0.055 1
S1 S 0.000 0.000 0.000 1
S2 S 0.000 0.267 0.619 1
S3 S 0.000 0.436 0.250 1

---

# LiAg2BiH, optimized geometry, DFT PBE-GGA
# Size of the total moment in μB per formula unit: 0.0
# Calculated volume in Å³/cell: 84
# VASP energy in eV per formula unit: -14.97
data_LiAg2BiH
_chemical_formula_sum 'Li1 Ag2 Bi1 H1'
_space_group_name_H-M_alt 'P 4/m m m'
_space_group_IT_number 123
_space_group_name_Hall '-P 4 2'
_cell_length_a 4.236
_cell_length_b 4.236
_cell_length_c 4.659
_cell_angle_alpha 90.00
_cell_angle_beta 90.00
_cell_angle_gamma 90.00
loop_
_atom_site_label
_atom_site_type_symbol
_atom_site_fract_x
_atom_site_fract_y
_atom_site_fract_z
_atom_site_occupancy
Li1 Li 0.000 0.000 0.000 1
Ag1 Ag 0.000 0.500 0.500 1
Bi1 Bi 0.500 0.500 0.000 1
H1 H 0.000 0.000 0.500 1

---

# KP2Os, optimized geometry, DFT PBE-GGA
# DFT formation energy in kJ/mol of formula units: 56.5
# E above lowest polymorph in eV per atom: 0.307
# Size of the total moment in μB per formula unit: 0.5
# Calculated volume in Å³/cell: 184
# VASP energy in eV per formula unit: -22.56
data_KP2Os
_chemical_formula_sum 'K2 P4 Os2'
_space_group_name_H-M_alt 'I m m m'
_space_group_IT_number 71
_space_group_name_Hall '-I 2 2'
_cell_length_a 2.912
_cell_length_b 6.466
_cell_length_c 9.756
_cell_angle_alpha 90.00
_cell_angle_beta 90.00
_cell_angle_gamma 90.00
loop_
_atom_site_label
_atom_site_type_symbol
_atom_site_fract_x
_atom_site_fract_y
_atom_site_fract_z
_atom_site_occupancy
K1 K 0.000 0.000 0.000 1
P1 P 0.000 0.500 0.186 1
Os1 Os 0.000 0.000 0.500 1